The following is a DFT calculation (GGA-PBE) of a relaxed structure of Pu2CuPd2.

```
Pu2CuPd2
1.0
-0.756 -4.224 1.686
3.793 -1.671 3.818
-7.330 0.970 5.446
Pu Pd Cu
4 4 2
Cartesian
-6.594 -3.241 7.832
-1.652 -1.972 6.924
2.301 -1.683 3.118
-2.641 -2.952 4.027
-3.808 -4.216 6.640
0.612 -3.054 5.231
-0.486 -0.708 4.311
-4.906 -1.871 5.720
-3.616 -3.296 9.030
-0.678 -1.628 1.920
```

Computed properties:
Energy above the most stable polymorph in this dataset = 0.344 eV per formula unit
SG = No. 12
Energy of formation from the pure elements = -260.5 meV per atom